Density functional theory data (PBE) for a relaxed structure of Ac2MgCd2.

Computed properties:
ΔE to the lowest computed polymorph in meV per atom: 0
E_form in eV per atom: -0.225
Total moment in μB per formula unit: 0.00
ρ in g/cm3: 7.18
VASP energy in eV per cell: -51.1
Symmetry: P4/mnc (128)

```
Ac2MgCd2
1.0
7.9526 0.0000 0.0000
0.0000 7.9526 0.0000
0.0000 0.0000 10.2910
Ac Mg Cd
8 4 8
Direct
0.1682 0.3314 0.0000
0.1686 0.3318 0.5000
0.3314 0.8318 0.0000
0.3318 0.8314 0.5000
0.6682 0.1686 0.5000
0.6686 0.1682 0.0000
0.8314 0.6682 0.5000
0.8318 0.6686 0.0000
0.0000 0.0000 0.2512
0.0000 0.0000 0.7488
0.5000 0.5000 0.2488
0.5000 0.5000 0.7512
0.1335 0.6335 0.2500
0.1335 0.6335 0.7500
0.3665 0.1335 0.2500
0.3665 0.1335 0.7500
0.6335 0.8665 0.2500
0.6335 0.8665 0.7500
0.8665 0.3665 0.2500
0.8665 0.3665 0.7500
```